Entry 1:
This record from the Alexandria database describes a geometry-optimized K2BaRh structure. The functional is PBE-GGA. Values from VASP.

Geometry as Quantum ESPRESSO input:
```
&SYSTEM
  ibrav = 0, nat = 4, ntyp = 3
/
ATOMIC_SPECIES
K 39.10 K.upf
Rh 102.91 Rh.upf
Ba 137.33 Ba.upf
ATOMIC_POSITIONS crystal
K 0.000 0.000 0.042
K 0.000 0.000 0.458
Rh 0.500 0.500 0.250
Ba 0.500 0.500 0.750
CELL_PARAMETERS angstrom
-4.532 0.221 1.530
-1.545 -0.491 -4.506
-0.073 -6.796 0.765
```

Results
E_tot: -0.083 Ha/atom
Formation enthalpy at 0 K: 0.612 eV/atom

=====

Entry 2:
This record from the Alexandria database describes a geometry-optimized KBa3Rh structure. The functional is PBE-GGA. Values from VASP.

Geometry as Quantum ESPRESSO input:
```
&SYSTEM
  ibrav = 0, nat = 5, ntyp = 3
/
ATOMIC_SPECIES
K 39.10 K.upf
Ba 137.33 Ba.upf
Rh 102.91 Rh.upf
ATOMIC_POSITIONS crystal
K 0.000 0.000 0.000
Ba 0.000 0.500 0.000
Ba 0.500 0.000 0.000
Ba 0.000 0.000 0.500
Rh 0.500 0.500 0.500
CELL_PARAMETERS angstrom
6.316 0.000 0.000
0.000 6.316 0.000
0.000 0.000 6.316
```

Results
E_tot: -0.058 Ha/atom
Formation enthalpy at 0 K: 1.261 eV/atom

=====

Entry 3:
This record from the Alexandria database describes a geometry-optimized K2BaRh structure. The functional is PBE-GGA. Values from VASP.

Geometry as Quantum ESPRESSO input:
```
&SYSTEM
  ibrav = 0, nat = 4, ntyp = 3
/
ATOMIC_SPECIES
Ba 137.33 Ba.upf
Rh 102.91 Rh.upf
K 39.10 K.upf
ATOMIC_POSITIONS crystal
Ba 0.000 0.500 0.500
Rh 0.500 0.000 0.500
K 0.000 0.000 0.000
K 0.500 0.500 0.000
CELL_PARAMETERS angstrom
4.830 0.010 0.000
-0.021 4.830 0.000
0.000 0.000 6.206
```

Results
E_tot: -0.090 Ha/atom
Formation enthalpy at 0 K: 0.407 eV/atom

=====

Entry 4:
This record from the Alexandria database describes a geometry-optimized K4BaRh structure. The functional is PBE-GGA. Values from VASP.

Geometry as Quantum ESPRESSO input:
```
&SYSTEM
  ibrav = 0, nat = 6, ntyp = 3
/
ATOMIC_SPECIES
Ba 137.33 Ba.upf
K 39.10 K.upf
Rh 102.91 Rh.upf
ATOMIC_POSITIONS crystal
Ba 0.000 0.000 0.000
K 0.866 0.378 0.378
K 0.378 0.378 0.378
K 0.378 0.866 0.378
K 0.378 0.378 0.866
Rh 0.750 0.750 0.750
CELL_PARAMETERS angstrom
0.000 5.183 5.183
5.183 0.000 5.183
5.183 5.183 0.000
```

Results
E_tot: -0.059 Ha/atom
Formation enthalpy at 0 K: 0.662 eV/atom

=====

Entry 5:
This record from the Alexandria database describes a geometry-optimized KBa14Rh structure. The functional is PBE-GGA. Values from VASP.

Geometry as Quantum ESPRESSO input:
```
&SYSTEM
  ibrav = 0, nat = 16, ntyp = 3
/
ATOMIC_SPECIES
Ba 137.33 Ba.upf
K 39.10 K.upf
Rh 102.91 Rh.upf
ATOMIC_POSITIONS crystal
Ba 0.891 0.109 0.283
Ba 0.129 0.393 0.500
Ba 0.065 0.374 0.000
Ba 0.586 0.414 0.000
Ba 0.812 0.552 0.314
Ba 0.346 0.654 0.768
Ba 0.110 0.890 0.000
Ba 0.607 0.871 0.500
Ba 0.626 0.935 0.000
Ba 0.346 0.654 0.232
Ba 0.812 0.552 0.686
Ba 0.448 0.188 0.686
Ba 0.448 0.188 0.314
Ba 0.891 0.109 0.717
K 0.124 0.876 0.500
Rh 0.759 0.241 0.500
CELL_PARAMETERS angstrom
-4.110 -0.458 8.016
8.153 -3.541 1.530
4.265 11.038 2.818
```

Results
E_tot: -0.079 Ha/atom
Formation enthalpy at 0 K: 0.050 eV/atom

=====

Entry 6:
This record from the Alexandria database describes a geometry-optimized K3BaRh structure. The functional is PBE-GGA. Values from VASP.

Geometry as Quantum ESPRESSO input:
```
&SYSTEM
  ibrav = 0, nat = 5, ntyp = 3
/
ATOMIC_SPECIES
K 39.10 K.upf
Rh 102.91 Rh.upf
Ba 137.33 Ba.upf
ATOMIC_POSITIONS crystal
K 0.500 0.000 0.000
K 0.000 0.500 0.000
K 0.000 0.000 0.500
Rh 0.000 0.000 0.000
Ba 0.500 0.500 0.500
CELL_PARAMETERS angstrom
-4.407 -3.204 -3.138
-2.945 -1.249 5.412
-3.381 5.263 -0.625
```

Results
E_tot: -0.072 Ha/atom
Formation enthalpy at 0 K: 0.545 eV/atom

=====

Entry 7:
This record from the Alexandria database describes a geometry-optimized K2Ba3Rh structure. The functional is PBE-GGA. Values from VASP.

Geometry as Quantum ESPRESSO input:
```
&SYSTEM
  ibrav = 0, nat = 12, ntyp = 3
/
ATOMIC_SPECIES
Ba 137.33 Ba.upf
Rh 102.91 Rh.upf
K 39.10 K.upf
ATOMIC_POSITIONS crystal
Ba 0.500 0.848 0.152
Ba 0.000 0.848 0.152
Ba 0.250 0.287 0.287
Ba 0.500 0.152 0.848
Ba 0.750 0.713 0.713
Ba 0.000 0.152 0.848
Rh 0.750 0.987 0.987
Rh 0.250 0.013 0.013
K 0.250 0.557 0.831
K 0.750 0.443 0.169
K 0.750 0.169 0.443
K 0.250 0.831 0.557
CELL_PARAMETERS angstrom
9.283 0.000 0.000
0.000 8.395 -1.857
0.000 0.239 8.595
```

Results
E_tot: -0.094 Ha/atom
Formation enthalpy at 0 K: 0.006 eV/atom

=====

Entry 8:
This record from the Alexandria database describes a geometry-optimized K2BaRh structure. The functional is PBE-GGA. Values from VASP.

Geometry as Quantum ESPRESSO input:
```
&SYSTEM
  ibrav = 0, nat = 8, ntyp = 3
/
ATOMIC_SPECIES
K 39.10 K.upf
Ba 137.33 Ba.upf
Rh 102.91 Rh.upf
ATOMIC_POSITIONS crystal
K 0.375 0.625 0.750
K 0.375 0.125 0.250
K 0.375 0.625 0.250
K 0.875 0.625 0.750
Ba 0.000 0.000 0.000
Ba 0.750 0.250 0.500
Rh 0.500 0.500 0.000
Rh 0.250 0.750 0.500
CELL_PARAMETERS angstrom
-3.497 -2.833 -2.966
1.001 -4.369 2.993
-9.943 -0.560 7.361
```

Results
E_tot: -0.078 Ha/atom
Formation enthalpy at 0 K: 0.744 eV/atom

=====

Entry 9:
This record from the Alexandria database describes a geometry-optimized KBaRh structure. The functional is PBE-GGA. Values from VASP.

Geometry as Quantum ESPRESSO input:
```
&SYSTEM
  ibrav = 0, nat = 3, ntyp = 3
/
ATOMIC_SPECIES
Rh 102.91 Rh.upf
K 39.10 K.upf
Ba 137.33 Ba.upf
ATOMIC_POSITIONS crystal
Rh 0.333 0.667 0.723
K 0.667 0.333 0.403
Ba 0.000 0.000 0.874
CELL_PARAMETERS angstrom
-3.501 2.232 2.377
-0.704 -1.427 -4.512
-2.117 -5.535 2.080
```

Results
E_tot: -0.117 Ha/atom
Formation enthalpy at 0 K: 0.272 eV/atom

=====

Entry 10:
This record from the Alexandria database describes a geometry-optimized K2BaRh structure. The functional is PBE-GGA. Values from VASP.

Geometry as Quantum ESPRESSO input:
```
&SYSTEM
  ibrav = 0, nat = 4, ntyp = 3
/
ATOMIC_SPECIES
K 39.10 K.upf
Rh 102.91 Rh.upf
Ba 137.33 Ba.upf
ATOMIC_POSITIONS crystal
K 0.000 0.000 0.985
K 0.500 0.500 0.334
Rh 0.000 0.000 0.531
Ba 0.500 0.500 0.649
CELL_PARAMETERS angstrom
-1.419 -0.360 -3.693
-0.431 -3.911 0.550
-10.553 1.711 3.887
```

Results
E_tot: -0.098 Ha/atom
Formation enthalpy at 0 K: 0.190 eV/atom

=====

Entry 11:
This record from the Alexandria database describes a geometry-optimized K2BaRh structure. The functional is PBE-GGA. Values from VASP.

Geometry as Quantum ESPRESSO input:
```
&SYSTEM
  ibrav = 0, nat = 4, ntyp = 3
/
ATOMIC_SPECIES
K 39.10 K.upf
Ba 137.33 Ba.upf
Rh 102.91 Rh.upf
ATOMIC_POSITIONS crystal
K 0.000 0.055 0.055
K 0.000 0.445 0.445
Ba 0.500 0.750 0.750
Rh 0.500 0.250 0.250
CELL_PARAMETERS angstrom
6.058 0.000 0.000
0.000 5.127 0.154
0.000 1.110 5.015
```

Results
E_tot: -0.090 Ha/atom
Formation enthalpy at 0 K: 0.427 eV/atom

=====

Entry 12:
This record from the Alexandria database describes a geometry-optimized KBa8Rh2 structure. The functional is PBE-GGA. Values from VASP.

Geometry as Quantum ESPRESSO input:
```
&SYSTEM
  ibrav = 0, nat = 11, ntyp = 3
/
ATOMIC_SPECIES
K 39.10 K.upf
Ba 137.33 Ba.upf
Rh 102.91 Rh.upf
ATOMIC_POSITIONS crystal
K 0.000 0.000 0.000
Ba 0.603 0.901 0.296
Ba 0.183 0.580 0.159
Ba 0.397 0.604 0.704
Ba 0.603 0.396 0.296
Ba 0.817 0.420 0.841
Ba 0.918 0.788 0.577
Ba 0.397 0.099 0.704
Ba 0.082 0.212 0.423
Rh 0.684 0.276 0.552
Rh 0.316 0.724 0.448
CELL_PARAMETERS angstrom
-1.528 -0.770 -7.356
-5.924 -5.231 1.778
-3.431 9.592 -1.663
```

Results
E_tot: -0.107 Ha/atom
Formation enthalpy at 0 K: -0.066 eV/atom

=====

Entry 13:
This record from the Alexandria database describes a geometry-optimized KBa2Rh2 structure. The functional is PBE-GGA. Values from VASP.

Geometry as Quantum ESPRESSO input:
```
&SYSTEM
  ibrav = 0, nat = 10, ntyp = 3
/
ATOMIC_SPECIES
Ba 137.33 Ba.upf
Rh 102.91 Rh.upf
K 39.10 K.upf
ATOMIC_POSITIONS crystal
Ba 0.661 0.839 0.500
Ba 0.839 0.339 0.500
Ba 0.161 0.661 0.500
Ba 0.339 0.161 0.500
Rh 0.890 0.610 0.000
Rh 0.390 0.890 0.000
Rh 0.110 0.390 0.000
Rh 0.610 0.110 0.000
K 0.000 0.000 0.000
K 0.500 0.500 0.000
CELL_PARAMETERS angstrom
8.545 0.000 0.000
0.000 8.545 0.000
0.000 0.000 4.414
```

Results
E_tot: -0.140 Ha/atom
Formation enthalpy at 0 K: 0.132 eV/atom

=====

Entry 14:
This record from the Alexandria database describes a geometry-optimized K2BaRh structure. The functional is PBE-GGA. Values from VASP.

Geometry as Quantum ESPRESSO input:
```
&SYSTEM
  ibrav = 0, nat = 4, ntyp = 3
/
ATOMIC_SPECIES
Ba 137.33 Ba.upf
Rh 102.91 Rh.upf
K 39.10 K.upf
ATOMIC_POSITIONS crystal
Ba 0.500 0.500 0.750
Rh 0.500 0.500 0.250
K 0.000 0.000 0.086
K 0.000 0.000 0.414
CELL_PARAMETERS angstrom
-1.497 -0.186 3.604
2.383 -2.982 0.831
7.751 7.195 3.589
```

Results
E_tot: -0.081 Ha/atom
Formation enthalpy at 0 K: 0.655 eV/atom

=====

Entry 15:
This record from the Alexandria database describes a geometry-optimized K2BaRh structure. The functional is PBE-GGA. Values from VASP.

Geometry as Quantum ESPRESSO input:
```
&SYSTEM
  ibrav = 0, nat = 4, ntyp = 3
/
ATOMIC_SPECIES
K 39.10 K.upf
Rh 102.91 Rh.upf
Ba 137.33 Ba.upf
ATOMIC_POSITIONS crystal
K 0.026 0.026 0.026
K 0.474 0.474 0.474
Rh 0.750 0.750 0.750
Ba 0.250 0.250 0.250
CELL_PARAMETERS angstrom
-6.692 -7.847 -7.630
-3.589 -10.270 -6.798
-6.714 -10.062 -4.271
```

Results
E_tot: -0.079 Ha/atom
Formation enthalpy at 0 K: 0.712 eV/atom

=====

Entry 16:
This record from the Alexandria database describes a geometry-optimized KBa2ScRh structure. The functional is PBE-GGA. Values from VASP.

Geometry as Quantum ESPRESSO input:
```
&SYSTEM
  ibrav = 0, nat = 5, ntyp = 4
/
ATOMIC_SPECIES
K 39.10 K.upf
Rh 102.91 Rh.upf
Sc 44.96 Sc.upf
Ba 137.33 Ba.upf
ATOMIC_POSITIONS crystal
K 0.000 0.500 0.000
Rh 0.000 0.000 0.000
Sc 0.500 0.500 0.500
Ba 0.500 0.000 0.000
Ba 0.000 0.000 0.500
CELL_PARAMETERS angstrom
-1.469 -5.631 -1.122
4.891 -1.945 3.360
-3.379 -0.089 4.868
```

Results
E_tot: -0.121 Ha/atom
Formation enthalpy at 0 K: 0.443 eV/atom

=====

Entry 17:
This record from the Alexandria database describes a geometry-optimized KBa2SrRh structure. The functional is PBE-GGA. Values from VASP.

Geometry as Quantum ESPRESSO input:
```
&SYSTEM
  ibrav = 0, nat = 5, ntyp = 4
/
ATOMIC_SPECIES
Sr 87.62 Sr.upf
K 39.10 K.upf
Ba 137.33 Ba.upf
Rh 102.91 Rh.upf
ATOMIC_POSITIONS crystal
Sr 0.000 0.000 0.500
K 0.500 0.500 0.500
Ba 0.000 0.500 0.000
Ba 0.500 0.000 0.000
Rh 0.000 0.000 0.000
CELL_PARAMETERS angstrom
6.252 0.000 0.000
0.000 6.252 0.000
0.000 0.000 6.147
```

Results
E_tot: -0.107 Ha/atom
Formation enthalpy at 0 K: -0.104 eV/atom

=====

Entry 18:
This record from the Alexandria database describes a geometry-optimized KBa2TlRh structure. The functional is PBE-GGA. Values from VASP.

Geometry as Quantum ESPRESSO input:
```
&SYSTEM
  ibrav = 0, nat = 5, ntyp = 4
/
ATOMIC_SPECIES
Rh 102.91 Rh.upf
K 39.10 K.upf
Ba 137.33 Ba.upf
Tl 204.38 Tl.upf
ATOMIC_POSITIONS crystal
Rh 0.000 0.000 0.000
K 0.500 0.500 0.500
Ba 0.500 0.000 0.000
Ba 0.000 0.500 0.000
Tl 0.000 0.000 0.500
CELL_PARAMETERS angstrom
6.122 0.000 0.000
0.000 6.122 0.000
0.000 0.000 5.523
```

Results
E_tot: -0.113 Ha/atom
Formation enthalpy at 0 K: -0.147 eV/atom

=====

Entry 19:
This record from the Alexandria database describes a geometry-optimized KBaTl2Rh structure. The functional is PBE-GGA. Values from VASP.

Geometry as Quantum ESPRESSO input:
```
&SYSTEM
  ibrav = 0, nat = 5, ntyp = 4
/
ATOMIC_SPECIES
Tl 204.38 Tl.upf
Rh 102.91 Rh.upf
Ba 137.33 Ba.upf
K 39.10 K.upf
ATOMIC_POSITIONS crystal
Tl 0.500 0.000 0.000
Tl 0.000 0.500 0.000
Rh 0.000 0.000 0.000
Ba 0.000 0.000 0.500
K 0.500 0.500 0.500
CELL_PARAMETERS angstrom
-0.542 2.676 -4.748
-2.101 -4.505 -2.299
-5.332 1.689 1.561
```

Results
E_tot: -0.116 Ha/atom
Formation enthalpy at 0 K: -0.140 eV/atom

=====

Entry 20:
This record from the Alexandria database describes a geometry-optimized KBa2YRh structure. The functional is PBE-GGA. Values from VASP.

Geometry as Quantum ESPRESSO input:
```
&SYSTEM
  ibrav = 0, nat = 5, ntyp = 4
/
ATOMIC_SPECIES
Ba 137.33 Ba.upf
Y 88.91 Y.upf
Rh 102.91 Rh.upf
K 39.10 K.upf
ATOMIC_POSITIONS crystal
Ba 0.000 0.500 0.000
Ba 0.500 0.000 0.000
Y 0.000 0.000 0.500
Rh 0.000 0.000 0.000
K 0.500 0.500 0.500
CELL_PARAMETERS angstrom
-2.644 -2.007 5.479
5.751 -1.912 2.075
0.837 4.903 2.200
```

Results
E_tot: -0.141 Ha/atom
Formation enthalpy at 0 K: -0.081 eV/atom